Computed, not measured: an optimized crystal structure of LiEr2 at the PBE level of DFT.

Results
SG	Fd-3m
offset from the most stable computed form	0.000	eV per formula unit

Structure (CIF):
```
data_LiEr2
_cell_length_a 6.416
_cell_length_b 6.416
_cell_length_c 6.416
_cell_angle_alpha 60.00
_cell_angle_beta 60.00
_cell_angle_gamma 60.00
_symmetry_space_group_name_H-M 'P 1'
_symmetry_Int_Tables_number 1
_symmetry_space_group_name_Hall 'P 1'
loop_
_atom_site_label
_atom_site_type_symbol
_atom_site_fract_x
_atom_site_fract_y
_atom_site_fract_z
Er1 Er 0.125 0.625 0.625
Li1 Li 0.250 0.250 0.250
Li2 Li 0.000 0.000 0.000
Er2 Er 0.625 0.625 0.125
Er3 Er 0.625 0.625 0.625
Er4 Er 0.625 0.125 0.625
```

Computed, not measured: an optimized crystal structure of Gd2DyTe3 at the PBE level of DFT.

Results
SG	P-3m1
raw total energy	-5.208	eV/atom

Structure (CIF):
```
data_Gd2DyTe3
_cell_length_a 4.371
_cell_length_b 4.371
_cell_length_c 10.727
_cell_angle_alpha 90.00
_cell_angle_beta 90.00
_cell_angle_gamma 120.00
_symmetry_space_group_name_H-M 'P 1'
_symmetry_Int_Tables_number 1
_symmetry_space_group_name_Hall 'P 1'
loop_
_atom_site_label
_atom_site_type_symbol
_atom_site_fract_x
_atom_site_fract_y
_atom_site_fract_z
Te1 Te 0.000 0.000 0.500
Te2 Te 0.667 0.333 0.836
Dy1 Dy 0.000 0.000 0.000
Gd1 Gd 0.667 0.333 0.333
Te3 Te 0.333 0.667 0.164
Gd2 Gd 0.333 0.667 0.667
```

Computed, not measured: an optimized crystal structure of Pt3S4 at the PBE level of DFT.

Results
SG	P6_3/m
raw total energy	-4.992	eV/atom

Structure (CIF):
```
data_Pt3S4
_cell_length_a 9.244
_cell_length_b 3.892
_cell_length_c 9.244
_cell_angle_alpha 90.00
_cell_angle_beta 120.00
_cell_angle_gamma 90.00
_symmetry_space_group_name_H-M 'P 1'
_symmetry_Int_Tables_number 1
_symmetry_space_group_name_Hall 'P 1'
loop_
_atom_site_label
_atom_site_type_symbol
_atom_site_fract_x
_atom_site_fract_y
_atom_site_fract_z
S1 S 0.965 0.250 0.835
S2 S 0.665 0.250 0.129
Pt1 Pt 0.531 0.750 0.172
S3 S 0.667 0.750 0.833
S4 S 0.370 0.250 0.535
Pt2 Pt 0.469 0.250 0.828
S5 S 0.335 0.750 0.871
S6 S 0.333 0.250 0.167
Pt3 Pt 0.859 0.250 0.031
Pt4 Pt 0.141 0.750 0.969
Pt5 Pt 0.328 0.750 0.359
S7 S 0.630 0.750 0.465
Pt6 Pt 0.672 0.250 0.641
S8 S 0.035 0.750 0.165
```

Computed, not measured: an optimized crystal structure of Zn2Ga2Ge at the PBE level of DFT.

Results
SG	I4/mmm
raw total energy	-2.485	eV/atom

Structure (CIF):
```
data_Zn2Ga2Ge
_cell_length_a 6.454
_cell_length_b 6.454
_cell_length_c 6.454
_cell_angle_alpha 144.31
_cell_angle_beta 144.31
_cell_angle_gamma 51.37
_symmetry_space_group_name_H-M 'P 1'
_symmetry_Int_Tables_number 1
_symmetry_space_group_name_Hall 'P 1'
loop_
_atom_site_label
_atom_site_type_symbol
_atom_site_fract_x
_atom_site_fract_y
_atom_site_fract_z
Ga1 Ga 0.605 0.605 0.000
Zn1 Zn 0.750 0.250 0.500
Ge1 Ge 0.000 0.000 0.000
Zn2 Zn 0.250 0.750 0.500
Ga2 Ga 0.395 0.395 0.000
```

Computed, not measured: an optimized crystal structure of LuFeAsIr at the PBE level of DFT.

Results
SG	F-43m
offset from the most stable computed form	0.121	eV per formula unit

Structure (CIF):
```
data_LuFeAsIr
_cell_length_a 4.589
_cell_length_b 4.589
_cell_length_c 4.589
_cell_angle_alpha 60.00
_cell_angle_beta 60.00
_cell_angle_gamma 60.00
_symmetry_space_group_name_H-M 'P 1'
_symmetry_Int_Tables_number 1
_symmetry_space_group_name_Hall 'P 1'
loop_
_atom_site_label
_atom_site_type_symbol
_atom_site_fract_x
_atom_site_fract_y
_atom_site_fract_z
Fe1 Fe 0.750 0.750 0.750
Ir1 Ir 0.500 0.500 0.500
As1 As 0.000 0.000 0.000
Lu1 Lu 0.250 0.250 0.250
```

Computed, not measured: an optimized crystal structure of Na2Mg2In2NiPd at the PBE level of DFT.

Results
SG	P-4m2
raw total energy	-2.884	eV/atom

Structure (CIF):
```
data_Na2Mg2In2NiPd
_cell_length_a 4.733
_cell_length_b 4.733
_cell_length_c 6.714
_cell_angle_alpha 90.00
_cell_angle_beta 90.00
_cell_angle_gamma 90.00
_symmetry_space_group_name_H-M 'P 1'
_symmetry_Int_Tables_number 1
_symmetry_space_group_name_Hall 'P 1'
loop_
_atom_site_label
_atom_site_type_symbol
_atom_site_fract_x
_atom_site_fract_y
_atom_site_fract_z
Pd1 Pd 0.500 0.500 0.000
Ni1 Ni 0.000 0.000 0.500
Na1 Na 0.500 0.500 0.500
In1 In 0.500 0.000 0.261
In2 In 0.000 0.500 0.739
Mg1 Mg 0.500 0.000 0.746
Na2 Na 0.000 0.000 0.000
Mg2 Mg 0.000 0.500 0.254
```

Computed, not measured: an optimized crystal structure of Ta5AuS at the PBE level of DFT.

Results
SG	F-43m
raw total energy	-9.846	eV/atom

Structure (CIF):
```
data_Ta5AuS
_cell_length_a 8.917
_cell_length_b 8.917
_cell_length_c 8.917
_cell_angle_alpha 120.00
_cell_angle_beta 90.00
_cell_angle_gamma 120.00
_symmetry_space_group_name_H-M 'P 1'
_symmetry_Int_Tables_number 1
_symmetry_space_group_name_Hall 'P 1'
loop_
_atom_site_label
_atom_site_type_symbol
_atom_site_fract_x
_atom_site_fract_y
_atom_site_fract_z
Ta1 Ta 0.368 0.264 0.632
Ta2 Ta 0.777 0.000 0.223
Au1 Au 0.150 0.299 0.449
Ta3 Ta 0.254 0.836 0.418
S1 S 0.881 0.763 0.644
Au2 Au 0.551 0.701 0.850
Ta4 Ta 0.223 0.446 0.223
Ta5 Ta 0.582 0.836 0.418
Ta6 Ta 0.223 0.000 0.777
Ta7 Ta 0.553 0.500 0.053
Ta8 Ta 0.947 0.894 0.447
Ta9 Ta 0.223 0.000 0.223
Ta10 Ta 0.368 0.736 0.104
Ta11 Ta 0.777 0.554 0.777
Ta12 Ta 0.896 0.264 0.632
S2 S 0.356 0.237 0.119
Ta13 Ta 0.582 0.164 0.418
Ta14 Ta 0.582 0.164 0.746
Ta15 Ta 0.947 0.500 0.447
Ta16 Ta 0.553 0.500 0.447
Au3 Au 0.150 0.701 0.850
Ta17 Ta 0.947 0.500 0.053
Ta18 Ta 0.553 0.106 0.053
S3 S 0.881 0.763 0.119
Ta19 Ta 0.777 0.000 0.777
S4 S 0.881 0.237 0.119
Au4 Au 0.150 0.299 0.850
Ta20 Ta 0.368 0.736 0.632
```

Computed, not measured: an optimized crystal structure of Ho2Ga5Co3 at the PBE level of DFT.

Results
SG	Ibam
raw total energy	-5.066	eV/atom

Structure (CIF):
```
data_Ho2Ga5Co3
_cell_length_a 8.297
_cell_length_b 8.297
_cell_length_c 8.297
_cell_angle_alpha 109.69
_cell_angle_beta 83.19
_cell_angle_gamma 141.42
_symmetry_space_group_name_H-M 'P 1'
_symmetry_Int_Tables_number 1
_symmetry_space_group_name_Hall 'P 1'
loop_
_atom_site_label
_atom_site_type_symbol
_atom_site_fract_x
_atom_site_fract_y
_atom_site_fract_z
Ga1 Ga 0.418 0.318 0.736
Ga2 Ga 0.582 0.682 0.264
Ga3 Ga 0.250 0.750 0.500
Ga4 Ga 0.918 0.182 0.100
Ga5 Ga 0.750 0.250 0.500
Ho1 Ho 0.146 0.277 0.423
Co1 Co 0.250 0.250 0.000
Co2 Co 0.151 0.584 0.734
Ho2 Ho 0.646 0.223 0.869
Co3 Co 0.651 0.916 0.567
Ga6 Ga 0.082 0.818 0.900
Co4 Co 0.750 0.750 0.000
Co5 Co 0.849 0.416 0.266
Ga7 Ga 0.453 0.250 0.203
Ga8 Ga 0.047 0.250 0.797
Co6 Co 0.349 0.084 0.433
Ga9 Ga 0.953 0.750 0.203
Ga10 Ga 0.547 0.750 0.797
Ho3 Ho 0.854 0.723 0.577
Ho4 Ho 0.354 0.777 0.131
```

Computed, not measured: an optimized crystal structure of Sc2Nb4Zn3N3 at the PBE level of DFT.

Results
SG	C2/c
raw total energy	-7.606	eV/atom

Structure (CIF):
```
data_Sc2Nb4Zn3N3
_cell_length_a 5.445
_cell_length_b 5.445
_cell_length_c 14.095
_cell_angle_alpha 90.10
_cell_angle_beta 101.09
_cell_angle_gamma 119.85
_symmetry_space_group_name_H-M 'P 1'
_symmetry_Int_Tables_number 1
_symmetry_space_group_name_Hall 'P 1'
loop_
_atom_site_label
_atom_site_type_symbol
_atom_site_fract_x
_atom_site_fract_y
_atom_site_fract_z
Zn1 Zn 0.300 0.050 0.250
Sc1 Sc 0.271 0.466 0.898
Nb1 Nb 0.722 0.694 0.582
Sc2 Sc 0.932 0.627 0.398
N1 N 0.342 0.184 0.000
Nb2 Nb 0.388 0.860 0.082
Zn2 Zn 0.633 0.417 0.750
Sc3 Sc 0.729 0.534 0.102
N2 N 0.658 0.816 0.000
Zn3 Zn 0.833 0.117 0.250
Zn4 Zn 0.367 0.583 0.250
Zn5 Zn 0.167 0.883 0.750
Nb3 Nb 0.387 0.027 0.582
N3 N 0.000 0.000 0.500
Nb4 Nb 0.612 0.140 0.918
Zn6 Zn 0.700 0.950 0.750
N4 N 0.684 0.342 0.500
Nb5 Nb 0.613 0.973 0.418
Nb6 Nb 0.055 0.195 0.082
Nb7 Nb 0.278 0.306 0.418
Nb8 Nb 0.945 0.805 0.918
N5 N 0.316 0.658 0.500
N6 N 0.000 0.500 0.000
Sc4 Sc 0.068 0.373 0.602
```

Computed, not measured: an optimized crystal structure of ScTcNiBi at the PBE level of DFT.

Results
SG	F-43m
offset from the most stable computed form	0.000	eV per formula unit

Structure (CIF):
```
data_ScTcNiBi
_cell_length_a 4.603
_cell_length_b 4.603
_cell_length_c 4.603
_cell_angle_alpha 60.00
_cell_angle_beta 60.00
_cell_angle_gamma 60.00
_symmetry_space_group_name_H-M 'P 1'
_symmetry_Int_Tables_number 1
_symmetry_space_group_name_Hall 'P 1'
loop_
_atom_site_label
_atom_site_type_symbol
_atom_site_fract_x
_atom_site_fract_y
_atom_site_fract_z
Bi1 Bi 0.000 0.000 0.000
Ni1 Ni 0.750 0.750 0.750
Sc1 Sc 0.500 0.500 0.500
Tc1 Tc 0.250 0.250 0.250
```